No. 1
Crystalline PbSeS2N at its relaxed geometry. Source: Alexandria via LeMat-Bulk, functional PBE.

The total magnetization comes out at 1.01 μB per cell. Its raw total energy is -4.0902 eV/atom. The density of states at the Fermi level is 1.72 states/eV/cell. For the formation energy from raw total energies, the calculation gives 64 kJ/mol of atoms. As for the energy above the most stable polymorph in this dataset: 0 meV per atom.

The space group is P4/mmm (No. 123) and the conventional cell measures 5.067, 5.067 and 3.850 Å, with angles of 90.00, 90.00 and 90.00 degrees. Symmetry generates all atoms from Pb at (0.000, 0.000, 0.000), Se at (0.500, 0.500, 0.500), S at (0.000, 0.500, 0.500) and N at (0.500, 0.500, 0.000).


No. 2
Crystalline PbSe2SN at its relaxed geometry. Source: Alexandria via LeMat-Bulk, functional PBE.

The total magnetization comes out at 1.78 μB per cell. Its raw total energy is -3.1450 eV/atom. The density of states at the Fermi level is 4.74 states/eV/cell. For the formation energy from raw total energies, the calculation gives 143 kJ/mol of atoms.

The space group is P4/mmm (No. 123) and the conventional cell measures 5.556, 5.556 and 4.374 Å, with angles of 90.00, 90.00 and 90.00 degrees. Symmetry generates all atoms from Pb at (0.000, 0.000, 0.000), Se at (0.000, 0.500, 0.000), S at (0.500, 0.500, 0.500) and N at (0.000, 0.000, 0.500).


No. 3
Crystalline PbSeS2N at its relaxed geometry. Source: Alexandria via LeMat-Bulk, functional PBE.

The total magnetization comes out at 0.00 μB per cell. Its raw total energy is -3.2903 eV/atom. The density of states at the Fermi level is 8.44 states/eV/cell. For the formation energy from raw total energies, the calculation gives 141 kJ/mol of atoms. As for the energy above the most stable polymorph in this dataset: 800 meV per atom.

The space group is P4/mmm (No. 123) and the conventional cell measures 5.286, 5.286 and 4.158 Å, with angles of 90.00, 90.00 and 90.00 degrees. Symmetry generates all atoms from Pb at (0.000, 0.000, 0.000), Se at (0.500, 0.500, 0.500), S at (0.000, 0.500, 0.000) and N at (0.000, 0.000, 0.500).


No. 4
Crystalline SiPbS2N at its relaxed geometry. Source: Alexandria via LeMat-Bulk, functional PBE.

The total magnetization comes out at 1.23 μB per cell. Its raw total energy is -3.8152 eV/atom. The density of states at the Fermi level is 1.88 states/eV/cell. For the formation energy from raw total energies, the calculation gives 128 kJ/mol of atoms.

The space group is P4/mmm (No. 123) and the conventional cell measures 5.258, 5.258 and 4.382 Å, with angles of 90.00, 90.00 and 90.00 degrees. Symmetry generates all atoms from Si at (0.000, 0.000, 0.000), Pb at (0.500, 0.500, 0.500), S at (0.000, 0.500, 0.500) and N at (0.500, 0.500, 0.000).


Question: Which of these has the highest total magnetization?
Answer: PbSe2SN


Question: formation energy from raw total energies of number 1 (PbSeS2N)?
Answer: 64 kJ/mol of atoms